Entry 1:
# NiGeBr2, relaxed, DFT PBE
data_NiGeBr2
_cell_length_a 4.853
_cell_length_b 4.853
_cell_length_c 4.853
_cell_angle_alpha 60.00
_cell_angle_beta 60.00
_cell_angle_gamma 60.00
_space_group_name_H-M_alt 'P 1'
_space_group_IT_number 1
_space_group_name_Hall 'P 1'
loop_
_atom_site_label
_atom_site_type_symbol
_atom_site_fract_x
_atom_site_fract_y
_atom_site_fract_z
Ni1 Ni 0.000 0.000 0.000
Ge1 Ge 0.500 0.500 0.500
Br1 Br 0.750 0.750 0.750
Br2 Br 0.250 0.250 0.250
# Polymorph energy (0 for the lowest one)   184 meV/atom
# Mass density   6.0 Mg/m³
# Total magnetic moment   0.0 μB/f.u.
# Crystal system   cubic
# Formation energy (no corrections)   152 kJ/mol of formula units

***

Entry 2:
# NiGe2Br2, relaxed, DFT PBE
data_NiGe2Br2
_cell_length_a 6.730
_cell_length_b 6.730
_cell_length_c 5.152
_cell_angle_alpha 90.00
_cell_angle_beta 90.00
_cell_angle_gamma 90.00
_space_group_name_H-M_alt 'P 1'
_space_group_IT_number 1
_space_group_name_Hall 'P 1'
loop_
_atom_site_label
_atom_site_type_symbol
_atom_site_fract_x
_atom_site_fract_y
_atom_site_fract_z
Ni1 Ni 0.500 0.500 0.000
Ni2 Ni 0.000 0.000 0.000
Br1 Br 0.681 0.819 0.500
Br2 Br 0.319 0.181 0.500
Br3 Br 0.181 0.681 0.500
Br4 Br 0.819 0.319 0.500
Ge1 Ge 0.755 0.745 0.000
Ge2 Ge 0.745 0.245 0.000
Ge3 Ge 0.245 0.255 0.000
Ge4 Ge 0.255 0.755 0.000
# Polymorph energy (0 for the lowest one)   0 meV/atom
# Mass density   5.2 Mg/m³
# Total magnetic moment   0.0 μB/f.u.
# Crystal system   tetragonal
# Formation energy (no corrections)   23 kJ/mol of formula units

***

Entry 3:
# NiGe2Br8, relaxed, DFT PBE
data_NiGe2Br8
_cell_length_a 6.937
_cell_length_b 8.069
_cell_length_c 8.069
_cell_angle_alpha 70.31
_cell_angle_beta 89.98
_cell_angle_gamma 89.98
_space_group_name_H-M_alt 'P 1'
_space_group_IT_number 1
_space_group_name_Hall 'P 1'
loop_
_atom_site_label
_atom_site_type_symbol
_atom_site_fract_x
_atom_site_fract_y
_atom_site_fract_z
Ni1 Ni 0.000 0.000 0.000
Ge1 Ge 0.352 0.186 0.186
Ge2 Ge 0.648 0.814 0.814
Br1 Br 0.147 0.301 0.919
Br2 Br 0.317 0.365 0.365
Br3 Br 0.853 0.699 0.081
Br4 Br 0.315 0.879 0.879
Br5 Br 0.685 0.121 0.121
Br6 Br 0.683 0.635 0.635
Br7 Br 0.853 0.081 0.699
Br8 Br 0.147 0.919 0.301
# Mass density   3.3 Mg/m³
# Total magnetic moment   1.1 μB/f.u.
# Crystal system   monoclinic
# Formation energy (no corrections)   -420 kJ/mol of formula units

***

Entry 4:
# Ni3GeBr, relaxed, DFT PBE
data_Ni3GeBr
_cell_length_a 4.454
_cell_length_b 4.454
_cell_length_c 4.454
_cell_angle_alpha 90.00
_cell_angle_beta 90.00
_cell_angle_gamma 90.00
_space_group_name_H-M_alt 'P 1'
_space_group_IT_number 1
_space_group_name_Hall 'P 1'
loop_
_atom_site_label
_atom_site_type_symbol
_atom_site_fract_x
_atom_site_fract_y
_atom_site_fract_z
Br1 Br 0.500 0.500 0.500
Ni1 Ni 0.000 0.000 0.500
Ni2 Ni 0.000 0.500 0.000
Ni3 Ni 0.500 0.000 0.000
Ge1 Ge 0.000 0.000 0.000
# Polymorph energy (0 for the lowest one)   0 meV/atom
# Mass density   6.2 Mg/m³
# Total magnetic moment   0.0 μB/f.u.
# Crystal system   cubic
# Formation energy (no corrections)   317 kJ/mol of formula units

***

Entry 5:
# NiGe2OsBr, relaxed, DFT PBE
data_NiGe2OsBr
_cell_length_a 4.552
_cell_length_b 4.781
_cell_length_c 4.552
_cell_angle_alpha 90.00
_cell_angle_beta 90.00
_cell_angle_gamma 90.00
_space_group_name_H-M_alt 'P 1'
_space_group_IT_number 1
_space_group_name_Hall 'P 1'
loop_
_atom_site_label
_atom_site_type_symbol
_atom_site_fract_x
_atom_site_fract_y
_atom_site_fract_z
Ge1 Ge 0.000 0.000 0.500
Ge2 Ge 0.500 0.000 0.000
Br1 Br 0.000 0.500 0.000
Ni1 Ni 0.000 0.000 0.000
Os1 Os 0.500 0.500 0.500
# Mass density   7.9 Mg/m³
# Total magnetic moment   2.2 μB/f.u.
# Crystal system   tetragonal
# Formation energy (no corrections)   572 kJ/mol of formula units

***

Entry 6:
# Pr4NiGeBr2, relaxed, DFT PBE
data_Pr4NiGeBr2
_cell_length_a 4.132
_cell_length_b 7.597
_cell_length_c 7.802
_cell_angle_alpha 107.30
_cell_angle_beta 90.00
_cell_angle_gamma 90.00
_space_group_name_H-M_alt 'P 1'
_space_group_IT_number 1
_space_group_name_Hall 'P 1'
loop_
_atom_site_label
_atom_site_type_symbol
_atom_site_fract_x
_atom_site_fract_y
_atom_site_fract_z
Pr1 Pr 0.500 0.215 0.197
Pr2 Pr 0.000 0.258 0.783
Pr3 Pr 0.500 0.785 0.803
Pr4 Pr 0.000 0.742 0.217
Br1 Br 0.500 0.000 0.500
Br2 Br 0.000 0.500 0.500
Ni1 Ni 0.000 0.000 0.000
Ge1 Ge 0.500 0.500 0.000
# Mass density   6.1 Mg/m³
# Total magnetic moment   0.0 μB/f.u.
# Crystal system   monoclinic
# Formation energy (no corrections)   -722 kJ/mol of formula units

***

Entry 7:
# Pr6Ni2GeBr3, relaxed, DFT PBE
data_Pr6Ni2GeBr3
_cell_length_a 4.128
_cell_length_b 9.133
_cell_length_c 9.882
_cell_angle_alpha 106.95
_cell_angle_beta 102.06
_cell_angle_gamma 90.00
_space_group_name_H-M_alt 'P 1'
_space_group_IT_number 1
_space_group_name_Hall 'P 1'
loop_
_atom_site_label
_atom_site_type_symbol
_atom_site_fract_x
_atom_site_fract_y
_atom_site_fract_z
Pr1 Pr 0.322 0.449 0.644
Pr2 Pr 0.678 0.551 0.356
Pr3 Pr 0.014 0.237 0.028
Pr4 Pr 0.986 0.763 0.972
Pr5 Pr 0.661 0.120 0.323
Pr6 Pr 0.339 0.880 0.677
Br1 Br 0.500 0.500 0.000
Br2 Br 0.839 0.165 0.679
Br3 Br 0.161 0.835 0.321
Ni1 Ni 0.831 0.664 0.663
Ni2 Ni 0.169 0.336 0.337
Ge1 Ge 0.500 0.000 0.000
# Mass density   6.1 Mg/m³
# Total magnetic moment   0.0 μB/f.u.
# Crystal system   monoclinic
# Formation energy (no corrections)   -1026 kJ/mol of formula units

***

Entry 8:
# Ni2GeSbBr, relaxed, DFT PBE
data_Ni2GeSbBr
_cell_length_a 4.476
_cell_length_b 5.451
_cell_length_c 4.476
_cell_angle_alpha 90.00
_cell_angle_beta 90.00
_cell_angle_gamma 90.00
_space_group_name_H-M_alt 'P 1'
_space_group_IT_number 1
_space_group_name_Hall 'P 1'
loop_
_atom_site_label
_atom_site_type_symbol
_atom_site_fract_x
_atom_site_fract_y
_atom_site_fract_z
Ni1 Ni 0.000 0.000 0.500
Ni2 Ni 0.500 0.000 0.000
Ge1 Ge 0.000 0.000 0.000
Br1 Br 0.000 0.500 0.000
Sb1 Sb 0.500 0.500 0.500
# Mass density   6.0 Mg/m³
# Total magnetic moment   0.0 μB/f.u.
# Crystal system   tetragonal
# Formation energy (no corrections)   320 kJ/mol of formula units

***

Entry 9:
# NiGeSe2Br, relaxed, DFT PBE
data_NiGeSe2Br
_cell_length_a 4.728
_cell_length_b 4.728
_cell_length_c 4.900
_cell_angle_alpha 90.00
_cell_angle_beta 90.00
_cell_angle_gamma 90.00
_space_group_name_H-M_alt 'P 1'
_space_group_IT_number 1
_space_group_name_Hall 'P 1'
loop_
_atom_site_label
_atom_site_type_symbol
_atom_site_fract_x
_atom_site_fract_y
_atom_site_fract_z
Ge1 Ge 0.500 0.500 0.500
Ni1 Ni 0.000 0.000 0.000
Br1 Br 0.000 0.000 0.500
Se1 Se 0.500 0.000 0.000
Se2 Se 0.000 0.500 0.000
# Polymorph energy (0 for the lowest one)   0 meV/atom
# Mass density   5.6 Mg/m³
# Total magnetic moment   0.0 μB/f.u.
# Crystal system   tetragonal
# Formation energy (no corrections)   104 kJ/mol of formula units

***

Entry 10:
# NiGeSeBr2, relaxed, DFT PBE
data_NiGeSeBr2
_cell_length_a 4.793
_cell_length_b 4.793
_cell_length_c 4.975
_cell_angle_alpha 90.00
_cell_angle_beta 90.00
_cell_angle_gamma 90.00
_space_group_name_H-M_alt 'P 1'
_space_group_IT_number 1
_space_group_name_Hall 'P 1'
loop_
_atom_site_label
_atom_site_type_symbol
_atom_site_fract_x
_atom_site_fract_y
_atom_site_fract_z
Ni1 Ni 0.000 0.000 0.000
Br1 Br 0.500 0.000 0.000
Br2 Br 0.000 0.500 0.000
Se1 Se 0.000 0.000 0.500
Ge1 Ge 0.500 0.500 0.500
# Polymorph energy (0 for the lowest one)   0 meV/atom
# Mass density   5.4 Mg/m³
# Total magnetic moment   0.0 μB/f.u.
# Crystal system   tetragonal
# Formation energy (no corrections)   62 kJ/mol of formula units

***

Entry 11:
# Sr2NiGeBr, relaxed, DFT PBE
data_Sr2NiGeBr
_cell_length_a 5.855
_cell_length_b 5.855
_cell_length_c 4.378
_cell_angle_alpha 90.00
_cell_angle_beta 90.00
_cell_angle_gamma 90.00
_space_group_name_H-M_alt 'P 1'
_space_group_IT_number 1
_space_group_name_Hall 'P 1'
loop_
_atom_site_label
_atom_site_type_symbol
_atom_site_fract_x
_atom_site_fract_y
_atom_site_fract_z
Ni1 Ni 0.000 0.000 0.000
Sr1 Sr 0.000 0.500 0.000
Sr2 Sr 0.500 0.000 0.000
Ge1 Ge 0.000 0.000 0.500
Br1 Br 0.500 0.500 0.500
# Polymorph energy (0 for the lowest one)   0 meV/atom
# Mass density   4.3 Mg/m³
# Total magnetic moment   0.0 μB/f.u.
# Crystal system   tetragonal
# Formation energy (no corrections)   -378 kJ/mol of formula units

***

Entry 12:
# Sr2NiGeBr, relaxed, DFT PBE
data_Sr2NiGeBr
_cell_length_a 5.819
_cell_length_b 5.120
_cell_length_c 5.819
_cell_angle_alpha 90.00
_cell_angle_beta 90.00
_cell_angle_gamma 90.00
_space_group_name_H-M_alt 'P 1'
_space_group_IT_number 1
_space_group_name_Hall 'P 1'
loop_
_atom_site_label
_atom_site_type_symbol
_atom_site_fract_x
_atom_site_fract_y
_atom_site_fract_z
Ni1 Ni 0.500 0.500 0.500
Sr1 Sr 0.500 0.000 0.000
Sr2 Sr 0.000 0.000 0.500
Ge1 Ge 0.000 0.500 0.000
Br1 Br 0.000 0.000 0.000
# Polymorph energy (0 for the lowest one)   1033 meV/atom
# Mass density   3.7 Mg/m³
# Total magnetic moment   0.6 μB/f.u.
# Crystal system   tetragonal
# Formation energy (no corrections)   120 kJ/mol of formula units